Na2PuVO4 | GGA+U | optimized geometry Values from VASP.

The structure in Quantum ESPRESSO input format:
```
&SYSTEM
  ibrav = 0, nat = 8, ntyp = 4
/
ATOMIC_SPECIES
Na 22.99 Na.upf
Pu 244.00 Pu.upf
V 50.94 V.upf
O 16.00 O.upf
ATOMIC_POSITIONS angstrom
Na 1.6920 -0.9645 2.7560
Na 0.0000 1.8160 2.8064
Pu 1.6920 2.7805 0.0504
V 0.0000 0.0000 0.0000
O 1.6920 0.8794 1.1645
O 1.6920 2.7527 4.4482
O 0.0000 -0.0830 4.3483
O 0.0000 3.7151 1.2644
CELL_PARAMETERS angstrom
3.3841 0.0000 0.0000
0.0000 5.5611 0.1008
0.0000 -1.9290 5.5119
```

The calculation puts the total magnetic moment at 0.87 μB per atom. The final energy comes out at -61.64 eV for the cell shown. The calculation puts the mass density at 6.4 g/cm³.